Entry 1:
Material: Dy4InGaHg2
Method: DFT, PBE-GGA
State: optimized geometry

abc: 5.2377 5.2377 25.6201
angles: 90.00 90.00 120.00
Space group R-3m (No. 166, hexagonal axes)
Asymmetric unit:
Dy 0.0000 0.0000 0.1203
Dy 0.0000 0.0000 0.3708
In 0.0000 0.0000 0.5000
Ga 0.0000 0.0000 0.0000
Hg 0.0000 0.0000 0.2462

Output
- energy (eV per atom) = -3.589
- spin magnetization (μB per formula unit) = 0.0

---

Entry 2:
Material: MnCr2Cl
Method: DFT, PBE-GGA
State: optimized geometry

abc: 8.8771 2.9494 6.8111
angles: 90.00 120.38 90.00
Space group C2/m (No. 12)
Asymmetric unit:
Mn 0.0000 0.0000 0.0000
Cr 0.2233 0.0000 0.8712
Cl 0.0000 0.0000 0.5000

Output
- energy above the most stable polymorph in this dataset (eV per formula unit) = 1.42
- ΔE_f (raw) (eV per atom) = 0.451
- energy (eV per atom) = -7.114
- spin magnetization (μB per formula unit) = 3.2